1.
Below is a relaxed Tm3Ni5H12 crystal, with properties calculated at the PBE-GGA level.

Computed properties:
- DFT total energy: -353.42 eV/cell
- Symmetry: No. 230
- D(E_F): 0.323 states/eV/atom

Geometry as CIF:
```
data_Tm3Ni5H12
_space_group_name_H-M_alt 'P 1'
_space_group_IT_number 1
_cell_length_a 9.634
_cell_length_b 9.634
_cell_length_c 9.634
_cell_angle_alpha 109.47
_cell_angle_beta 109.47
_cell_angle_gamma 109.47
loop_
_space_group_symop_operation_xyz
'x,y,z'
loop_
_atom_site_label
_atom_site_type_symbol
_atom_site_fract_x
_atom_site_fract_y
_atom_site_fract_z
_atom_site_occupancy
Tm1 Tm 0.750 0.375 0.125 1
Tm2 Tm 0.875 0.750 0.125 1
Tm3 Tm 0.375 0.750 0.625 1
Tm4 Tm 0.250 0.125 0.375 1
Tm5 Tm 0.875 0.125 0.250 1
Tm6 Tm 0.375 0.625 0.250 1
Tm7 Tm 0.625 0.375 0.750 1
Tm8 Tm 0.125 0.875 0.750 1
Tm9 Tm 0.750 0.875 0.625 1
Tm10 Tm 0.625 0.250 0.375 1
Tm11 Tm 0.125 0.250 0.875 1
Tm12 Tm 0.250 0.625 0.875 1
Ni1 Ni 0.125 0.375 0.250 1
Ni2 Ni 0.000 0.500 0.000 1
Ni3 Ni 0.000 0.000 0.000 1
Ni4 Ni 0.375 0.250 0.125 1
Ni5 Ni 0.500 0.000 0.500 1
Ni6 Ni 0.500 0.500 0.000 1
Ni7 Ni 0.125 0.750 0.375 1
Ni8 Ni 0.750 0.125 0.875 1
Ni9 Ni 0.750 0.625 0.375 1
Ni10 Ni 0.375 0.125 0.750 1
Ni11 Ni 0.625 0.875 0.250 1
Ni12 Ni 0.500 0.500 0.500 1
Ni13 Ni 0.500 0.000 0.000 1
Ni14 Ni 0.000 0.000 0.500 1
Ni15 Ni 0.250 0.375 0.625 1
Ni16 Ni 0.250 0.875 0.125 1
Ni17 Ni 0.000 0.500 0.500 1
Ni18 Ni 0.875 0.250 0.625 1
Ni19 Ni 0.625 0.750 0.875 1
Ni20 Ni 0.875 0.625 0.750 1
H1 H 0.692 0.109 0.015 1
H2 H 0.323 0.515 0.406 1
H3 H 0.985 0.391 0.308 1
H4 H 0.515 0.192 0.109 1
H5 H 0.583 0.692 0.677 1
H6 H 0.985 0.594 0.177 1
H7 H 0.323 0.808 0.417 1
H8 H 0.094 0.917 0.109 1
H9 H 0.594 0.985 0.677 1
H10 H 0.692 0.583 0.177 1
H11 H 0.808 0.485 0.391 1
H12 H 0.823 0.906 0.015 1
H13 H 0.109 0.692 0.515 1
H14 H 0.391 0.406 0.083 1
H15 H 0.083 0.906 0.391 1
H16 H 0.417 0.109 0.594 1
H17 H 0.083 0.177 0.192 1
H18 H 0.485 0.677 0.094 1
H19 H 0.823 0.917 0.308 1
H20 H 0.109 0.417 0.094 1
H21 H 0.391 0.985 0.808 1
H22 H 0.594 0.609 0.417 1
H23 H 0.906 0.823 0.515 1
H24 H 0.808 0.323 0.917 1
H25 H 0.406 0.391 0.583 1
H26 H 0.094 0.177 0.485 1
H27 H 0.192 0.677 0.083 1
H28 H 0.177 0.083 0.692 1
H29 H 0.609 0.015 0.192 1
H30 H 0.891 0.583 0.906 1
H31 H 0.515 0.323 0.906 1
H32 H 0.583 0.891 0.406 1
H33 H 0.917 0.823 0.808 1
H34 H 0.917 0.094 0.609 1
H35 H 0.891 0.308 0.485 1
H36 H 0.177 0.094 0.985 1
H37 H 0.609 0.594 0.917 1
H38 H 0.406 0.015 0.323 1
H39 H 0.308 0.417 0.823 1
H40 H 0.192 0.515 0.609 1
H41 H 0.906 0.083 0.891 1
H42 H 0.677 0.192 0.583 1
H43 H 0.485 0.808 0.891 1
H44 H 0.015 0.406 0.823 1
H45 H 0.417 0.308 0.323 1
H46 H 0.015 0.609 0.692 1
H47 H 0.677 0.485 0.594 1
H48 H 0.308 0.891 0.985 1
```

=====

2.
Below is a relaxed TmNi3H crystal, with properties calculated at the PBE-GGA level.

Computed properties:
- DFT total energy: -26.75 eV/cell
- Symmetry: No. 221
- D(E_F): 0.087 states/eV/atom

Geometry as CIF:
```
data_TmNi3H
_space_group_name_H-M_alt 'P 1'
_space_group_IT_number 1
_cell_length_a 3.850
_cell_length_b 3.850
_cell_length_c 3.850
_cell_angle_alpha 90.00
_cell_angle_beta 90.00
_cell_angle_gamma 90.00
loop_
_space_group_symop_operation_xyz
'x,y,z'
loop_
_atom_site_label
_atom_site_type_symbol
_atom_site_fract_x
_atom_site_fract_y
_atom_site_fract_z
_atom_site_occupancy
Ni1 Ni 0.000 0.500 0.000 1
Ni2 Ni 0.000 0.000 0.500 1
Ni3 Ni 0.500 0.000 0.000 1
Tm1 Tm 0.500 0.500 0.500 1
H1 H 0.000 0.000 0.000 1
```

=====

3.
Below is a relaxed TmNi3H6 crystal, with properties calculated at the PBE-GGA level.

Computed properties:
- DFT total energy: -44.78 eV/cell
- Symmetry: No. 146
- D(E_F): 0.191 states/eV/atom

Geometry as CIF:
```
data_TmNi3H6
_space_group_name_H-M_alt 'P 1'
_space_group_IT_number 1
_cell_length_a 4.543
_cell_length_b 4.543
_cell_length_c 4.935
_cell_angle_alpha 90.00
_cell_angle_beta 117.40
_cell_angle_gamma 120.00
loop_
_space_group_symop_operation_xyz
'x,y,z'
loop_
_atom_site_label
_atom_site_type_symbol
_atom_site_fract_x
_atom_site_fract_y
_atom_site_fract_z
_atom_site_occupancy
Tm1 Tm 0.791 0.896 0.687 1
Ni1 Ni 0.671 0.335 0.006 1
Ni2 Ni 0.343 0.671 0.014 1
Ni3 Ni 0.246 0.123 0.369 1
H1 H 0.341 0.427 0.746 1
H2 H 0.159 0.735 0.228 1
H3 H 0.804 0.069 0.228 1
H4 H 0.319 0.914 0.746 1
H5 H 0.832 0.405 0.746 1
H6 H 0.494 0.424 0.228 1
```

=====

4.
Below is a relaxed TmNiH3 crystal, with properties calculated at the PBE-GGA level.

Computed properties:
- DFT total energy: -45.67 eV/cell
- Symmetry: No. 8
- D(E_F): 0.344 states/eV/atom

Geometry as CIF:
```
data_TmNiH3
_space_group_name_H-M_alt 'P 1'
_space_group_IT_number 1
_cell_length_a 3.592
_cell_length_b 4.542
_cell_length_c 5.817
_cell_angle_alpha 91.75
_cell_angle_beta 107.99
_cell_angle_gamma 90.02
loop_
_space_group_symop_operation_xyz
'x,y,z'
loop_
_atom_site_label
_atom_site_type_symbol
_atom_site_fract_x
_atom_site_fract_y
_atom_site_fract_z
_atom_site_occupancy
Tm1 Tm 0.201 0.974 0.757 1
Tm2 Tm 0.932 0.464 0.220 1
Ni1 Ni 0.643 0.436 0.640 1
Ni2 Ni 0.481 0.978 0.317 1
H1 H 0.758 0.217 0.871 1
H2 H 0.601 0.775 0.557 1
H3 H 0.373 0.720 0.101 1
H4 H 0.990 0.979 0.335 1
H5 H 0.377 0.226 0.109 1
H6 H 0.143 0.455 0.641 1
```

=====

5.
Below is a relaxed TmNiH2 crystal, with properties calculated at the PBE-GGA level.

Computed properties:
- DFT total energy: -18.61 eV/cell
- Symmetry: No. 166
- D(E_F): 0.337 states/eV/atom

Geometry as CIF:
```
data_TmNiH2
_space_group_name_H-M_alt 'P 1'
_space_group_IT_number 1
_cell_length_a 3.790
_cell_length_b 3.790
_cell_length_c 4.361
_cell_angle_alpha 64.24
_cell_angle_beta 64.24
_cell_angle_gamma 60.00
loop_
_space_group_symop_operation_xyz
'x,y,z'
loop_
_atom_site_label
_atom_site_type_symbol
_atom_site_fract_x
_atom_site_fract_y
_atom_site_fract_z
_atom_site_occupancy
Ni1 Ni 0.000 0.000 0.000 1
Tm1 Tm 0.500 0.500 0.500 1
H1 H 0.136 0.136 0.591 1
H2 H 0.864 0.864 0.409 1
```

=====

6.
Below is a relaxed TmNiH4 crystal, with properties calculated at the PBE-GGA level.

Computed properties:
- DFT total energy: -51.86 eV/cell
- Symmetry: No. 59
- D(E_F): 0.278 states/eV/atom

Geometry as CIF:
```
data_TmNiH4
_space_group_name_H-M_alt 'P 1'
_space_group_IT_number 1
_cell_length_a 3.574
_cell_length_b 5.925
_cell_length_c 6.538
_cell_angle_alpha 90.00
_cell_angle_beta 90.00
_cell_angle_gamma 127.07
loop_
_space_group_symop_operation_xyz
'x,y,z'
loop_
_atom_site_label
_atom_site_type_symbol
_atom_site_fract_x
_atom_site_fract_y
_atom_site_fract_z
_atom_site_occupancy
Tm1 Tm 0.890 0.640 0.750 1
Tm2 Tm 0.110 0.360 0.250 1
Ni1 Ni 0.931 0.180 0.750 1
Ni2 Ni 0.069 0.820 0.250 1
H1 H 0.606 0.856 0.750 1
H2 H 0.394 0.144 0.250 1
H3 H 0.410 0.161 0.750 1
H4 H 0.590 0.839 0.250 1
H5 H 0.824 0.573 0.084 1
H6 H 0.176 0.427 0.584 1
H7 H 0.824 0.573 0.416 1
H8 H 0.176 0.427 0.916 1
```

=====

7.
Below is a relaxed TmNi5H7 crystal, with properties calculated at the PBE-GGA level.

Computed properties:
- DFT total energy: -59.38 eV/cell
- Symmetry: No. 8
- D(E_F): 0.274 states/eV/atom

Geometry as CIF:
```
data_TmNi5H7
_space_group_name_H-M_alt 'P 1'
_space_group_IT_number 1
_cell_length_a 4.974
_cell_length_b 6.092
_cell_length_c 6.092
_cell_angle_alpha 86.69
_cell_angle_beta 52.22
_cell_angle_gamma 52.22
loop_
_space_group_symop_operation_xyz
'x,y,z'
loop_
_atom_site_label
_atom_site_type_symbol
_atom_site_fract_x
_atom_site_fract_y
_atom_site_fract_z
_atom_site_occupancy
Tm1 Tm 0.854 0.918 0.918 1
Ni1 Ni 0.396 0.052 0.612 1
Ni2 Ni 0.853 0.180 0.499 1
Ni3 Ni 0.396 0.612 0.052 1
Ni4 Ni 0.853 0.499 0.180 1
Ni5 Ni 0.034 0.525 0.525 1
H1 H 0.060 0.325 0.326 1
H2 H 0.537 0.400 0.400 1
H3 H 0.947 0.456 0.850 1
H4 H 0.947 0.850 0.456 1
H5 H 0.409 0.853 0.853 1
H6 H 0.357 0.905 0.427 1
H7 H 0.357 0.427 0.905 1
```

=====

8.
Below is a relaxed TmNiH3 crystal, with properties calculated at the PBE-GGA level.

Computed properties:
- DFT total energy: -22.60 eV/cell
- Symmetry: No. 221
- D(E_F): 0.197 states/eV/atom

Geometry as CIF:
```
data_TmNiH3
_space_group_name_H-M_alt 'P 1'
_space_group_IT_number 1
_cell_length_a 3.481
_cell_length_b 3.481
_cell_length_c 3.481
_cell_angle_alpha 90.00
_cell_angle_beta 90.00
_cell_angle_gamma 90.00
loop_
_space_group_symop_operation_xyz
'x,y,z'
loop_
_atom_site_label
_atom_site_type_symbol
_atom_site_fract_x
_atom_site_fract_y
_atom_site_fract_z
_atom_site_occupancy
Ni1 Ni 0.000 0.000 0.000 1
Tm1 Tm 0.500 0.500 0.500 1
H1 H 0.000 0.500 0.000 1
H2 H 0.000 0.000 0.500 1
H3 H 0.500 0.000 0.000 1
```

=====

9.
Below is a relaxed TmNi5H4 crystal, with properties calculated at the PBE-GGA level.

Computed properties:
- DFT total energy: -96.89 eV/cell
- Symmetry: No. 59
- D(E_F): 0.373 states/eV/atom

Geometry as CIF:
```
data_TmNi5H4
_space_group_name_H-M_alt 'P 1'
_space_group_IT_number 1
_cell_length_a 4.289
_cell_length_b 7.699
_cell_length_c 5.405
_cell_angle_alpha 90.00
_cell_angle_beta 90.00
_cell_angle_gamma 90.00
loop_
_space_group_symop_operation_xyz
'x,y,z'
loop_
_atom_site_label
_atom_site_type_symbol
_atom_site_fract_x
_atom_site_fract_y
_atom_site_fract_z
_atom_site_occupancy
Tm1 Tm 0.241 0.000 0.000 1
Tm2 Tm 0.759 0.500 0.500 1
Ni1 Ni 0.757 0.172 0.256 1
Ni2 Ni 0.757 0.172 0.744 1
Ni3 Ni 0.230 0.000 0.500 1
Ni4 Ni 0.757 0.828 0.256 1
Ni5 Ni 0.757 0.828 0.744 1
Ni6 Ni 0.243 0.672 0.244 1
Ni7 Ni 0.243 0.672 0.756 1
Ni8 Ni 0.770 0.500 0.000 1
Ni9 Ni 0.243 0.328 0.756 1
Ni10 Ni 0.243 0.328 0.244 1
H1 H 0.948 0.279 0.000 1
H2 H 0.552 0.000 0.318 1
H3 H 0.552 0.000 0.682 1
H4 H 0.948 0.721 0.000 1
H5 H 0.052 0.779 0.500 1
H6 H 0.448 0.500 0.182 1
H7 H 0.448 0.500 0.818 1
H8 H 0.052 0.221 0.500 1
```